Crystalline MgTa2Fe at its relaxed geometry, computed with GGA-PBEsol.

Formation energy = 1.4 eV/f.u.
Crystal system = tetragonal

a b c (Å): 3.952 3.952 4.056
angles (deg): 90.00 90.00 90.00
Element x y z (fractional)
Mg  0.000  0.000  0.000
Ta  0.000  0.500  0.500
Ta  0.500  0.000  0.500
Fe  0.500  0.500  0.000